No. 1
DFT (PBE) results for an optimized crystal structure of Hf2Ta4Ge3C3.

Unit cell a=5.5796 b=5.5796 c=13.5535 alpha=101.95 beta=101.95 gamma=60.00
Last column: nearest neighbours and their distance in Å.
Element x y z (fractional)
Hf1 0.0339 0.8684 0.5990  3 C 2.27-2.28
Hf2 0.1316 0.9661 0.9010  3 C 2.27-2.28
Hf3 0.8684 0.0339 0.0990  3 C 2.27-2.28
Hf4 0.9661 0.1316 0.4010  3 C 2.27-2.28
Ta1 0.1962 0.3604 0.0892  3 C 2.19-2.21
Ta2 0.3004 0.4734 0.4107  3 C 2.19-2.21
Ta3 0.3604 0.1962 0.5892  3 C 2.19-2.21
Ta4 0.4734 0.3004 0.9107  3 C 2.19-2.21
Ta5 0.5266 0.6996 0.0893  3 C 2.19-2.21
Ta6 0.6396 0.8038 0.4108  3 C 2.19-2.21
Ta7 0.6996 0.5266 0.5893  3 C 2.19-2.21
Ta8 0.8038 0.6396 0.9108  3 C 2.19-2.21
Ge1 0.0850 0.2714 0.7508  4 Ta 2.77-2.78, 2 Hf 2.80-2.81
Ge2 0.2714 0.0850 0.2508  4 Ta 2.77-2.78, 2 Hf 2.80-2.81
Ge3 0.4415 0.5585 0.7500  4 Ta 2.78, 2 Hf 2.82
Ge4 0.5585 0.4415 0.2500  4 Ta 2.78, 2 Hf 2.82
Ge5 0.7286 0.9150 0.7492  4 Ta 2.77-2.78, 2 Hf 2.80-2.81
Ge6 0.9150 0.7286 0.2492  4 Ta 2.77-2.78, 2 Hf 2.80-2.81
C1 0.0000 0.5000 0.5000  4 Ta 2.19, 2 Hf 2.28
C2 0.1667 0.6661 0.0000  4 Ta 2.19-2.21, 2 Hf 2.27
C3 0.3339 0.8333 0.5000  4 Ta 2.19-2.21, 2 Hf 2.27
C4 0.5000 0.0000 0.0000  4 Ta 2.19, 2 Hf 2.28
C5 0.6661 0.1667 0.5000  4 Ta 2.19-2.21, 2 Hf 2.27
C6 0.8333 0.3339 0.0000  4 Ta 2.19-2.21, 2 Hf 2.27

Summary:
Electronic total energy: -232.2 eV per cell

No. 2
DFT (PBE) results for an optimized crystal structure of AlZnNO.

Unit cell a=5.4826 b=6.3432 c=5.0994 alpha=90.00 beta=90.00 gamma=90.00
Last column: nearest neighbours and their distance in Å.
Element x y z (fractional)
Al1 0.0866 0.1169 0.0000  1 O 1.83, 3 N 1.87-1.88
Al2 0.4134 0.1169 0.5000  1 O 1.83, 3 N 1.87-1.88
Al3 0.5866 0.8831 0.0000  1 O 1.83, 3 N 1.87-1.88
Al4 0.9134 0.8831 0.5000  1 O 1.83, 3 N 1.87-1.88
Zn1 0.0755 0.6411 0.0007  1 N 1.97, 3 O 2.00-2.06
Zn2 0.4245 0.6411 0.5007  1 N 1.97, 3 O 2.00-2.06
Zn3 0.5755 0.3589 0.0007  1 N 1.97, 3 O 2.00-2.06
Zn4 0.9245 0.3589 0.5007  1 N 1.97, 3 O 2.00-2.06
N1 0.0967 0.1087 0.6330  3 Al 1.87-1.88, 1 Zn 1.97
N2 0.4033 0.1087 0.1330  3 Al 1.87-1.88, 1 Zn 1.97
N3 0.5967 0.8913 0.6330  3 Al 1.87-1.88, 1 Zn 1.97
N4 0.9033 0.8913 0.1330  3 Al 1.87-1.88, 1 Zn 1.97
O1 0.0647 0.6390 0.5971  1 Al 1.83, 2 Zn 2.00-2.03
O2 0.4353 0.6390 0.0971  1 Al 1.83, 2 Zn 2.00-2.03
O3 0.5647 0.3610 0.5971  1 Al 1.83, 2 Zn 2.00-2.03
O4 0.9353 0.3610 0.0971  1 Al 1.83, 2 Zn 2.00-2.03

Summary:
Energy above the most stable polymorph in this dataset: 0.009 eV per atom

No. 3
DFT (PBE) results for an optimized crystal structure of KTmAg.

Unit cell a=5.2163 b=5.2163 c=5.2163 alpha=60.00 beta=60.00 gamma=60.00
Last column: nearest neighbours and their distance in Å.
Element x y z (fractional)
K1 0.0000 0.0000 0.0000  4 Tm 3.19
Tm1 0.7500 0.7500 0.7500  4 K 3.19, 4 Ag 3.19
Ag1 0.5000 0.5000 0.5000  4 Tm 3.19

Summary:
Energy above the most stable polymorph in this dataset: 0.000 eV per atom

No. 4
DFT (PBE) results for an optimized crystal structure of Hf3As2Pd2.

Unit cell a=7.9182 b=7.9182 c=7.9182 alpha=33.68 beta=33.68 gamma=33.68
Last column: nearest neighbours and their distance in Å.
Element x y z (fractional)
Hf1 0.0000 0.0000 0.0000  4 As 2.73-2.84, 3 Pd 2.81
Hf2 0.2469 0.2469 0.2469  4 As 2.80, 4 Pd 2.87-2.91
Hf3 0.4935 0.4935 0.4935  4 Pd 2.65-2.75, 4 As 2.78-2.86
As1 0.1219 0.1219 0.1219  5 Hf 2.73-2.80
As2 0.6214 0.6214 0.6214  7 Hf 2.80-2.86
Pd1 0.3752 0.3752 0.3752  5 Hf 2.65-2.87
Pd2 0.8603 0.8603 0.8603  6 Hf 2.75-2.91

Summary:
Electronic total energy: -53.1 eV per cell

No. 5
DFT (PBE) results for an optimized crystal structure of Lu5In4Ni2.

Unit cell a=7.8615 b=17.6221 c=3.5372 alpha=90.00 beta=90.00 gamma=90.00
Last column: nearest neighbours and their distance in Å.
Element x y z (fractional)
Lu1 0.0000 0.0000 0.0000  8 In 3.14-3.26, 2 Lu 3.40
Lu2 0.1156 0.4118 0.0000  2 Ni 2.70
Lu3 0.2453 0.2208 0.0000  4 Ni 2.85-2.88, 2 In 3.19
Lu4 0.2547 0.7208 0.0000  4 Ni 2.85-2.88, 2 In 3.19
Lu5 0.3844 0.9118 0.0000  2 Ni 2.70
Lu6 0.5000 0.5000 0.0000  8 In 3.14-3.26, 2 Lu 3.40
Lu7 0.6156 0.0882 0.0000  2 Ni 2.70
Lu8 0.7453 0.2792 0.0000  4 Ni 2.85-2.88, 2 In 3.19
Lu9 0.7547 0.7792 0.0000  4 Ni 2.85-2.88, 2 In 3.19
Lu10 0.8844 0.5882 0.0000  2 Ni 2.70
In1 0.0751 0.8483 0.5000  1 Ni 2.79
In2 0.2063 0.5678 0.5000  1 Ni 2.90, 6 Lu 3.11-3.25
In3 0.2937 0.0678 0.5000  1 Ni 2.90, 6 Lu 3.11-3.25
In4 0.4249 0.3483 0.5000  1 Ni 2.79
In5 0.5751 0.6517 0.5000  1 Ni 2.79
In6 0.7063 0.9322 0.5000  1 Ni 2.90, 6 Lu 3.11-3.25
In7 0.7937 0.4322 0.5000  1 Ni 2.90, 6 Lu 3.11-3.25
In8 0.9249 0.1517 0.5000  1 Ni 2.79
Ni1 0.0249 0.3037 0.5000  6 Lu 2.70-2.88, 2 In 2.79-2.90
Ni2 0.4751 0.8037 0.5000  6 Lu 2.70-2.88, 2 In 2.79-2.90
Ni3 0.5249 0.1963 0.5000  6 Lu 2.70-2.88, 2 In 2.79-2.90
Ni4 0.9751 0.6963 0.5000  6 Lu 2.70-2.88, 2 In 2.79-2.90

Summary:
Electronic total energy: -100.8 eV per cell

No. 6
DFT (PBE) results for an optimized crystal structure of ReSnSe2S2.

Unit cell a=6.6937 b=6.7028 c=7.5394 alpha=63.63 beta=73.90 gamma=89.15
Last column: nearest neighbours and their distance in Å.
Element x y z (fractional)
Re1 0.0002 0.2081 0.9997  4 S 2.34-2.52, 2 Se 2.50
Re2 0.9998 0.7919 0.0003  4 S 2.34-2.52, 2 Se 2.50
Sn1 0.0007 0.2615 0.4769  2 S 2.55-2.68, 4 Se 2.78-2.84
Sn2 0.9993 0.7385 0.5231  2 S 2.55-2.68, 4 Se 2.78-2.84
Se1 0.2605 0.1336 0.1972  1 Re 2.50, 1 Sn 2.78
Se2 0.2598 0.6610 0.1984  1 Re 2.50, 1 Sn 2.78
Se3 0.7402 0.3390 0.8016  1 Re 2.50, 1 Sn 2.78
Se4 0.7395 0.8664 0.8028  1 Re 2.50, 1 Sn 2.78
S1 0.1940 0.5997 0.7953  2 Re 2.52, 1 Sn 2.55
S2 0.2209 0.1215 0.7493  2 Re 2.34
S3 0.7791 0.8785 0.2507  2 Re 2.34
S4 0.8060 0.4003 0.2047  2 Re 2.52, 1 Sn 2.55

Summary:
Energy above the most stable polymorph in this dataset: 0.021 eV per atom

No. 7
DFT (PBE) results for an optimized crystal structure of Ac3Mg3Zn8.

Unit cell a=8.8738 b=8.8738 c=8.8738 alpha=149.35 beta=115.92 gamma=72.70
Last column: nearest neighbours and their distance in Å.
Element x y z (fractional)
Ac1 0.0000 0.0000 0.0000  12 Zn 3.30-3.55, 4 Mg 3.67
Ac2 0.2955 0.2955 0.0000  12 Zn 3.28-3.45, 2 Mg 3.48
Ac3 0.7045 0.7045 0.0000  12 Zn 3.28-3.45, 2 Mg 3.48
Mg1 0.3001 0.5000 0.8001  2 Zn 2.77, 2 Mg 3.01
Mg2 0.5000 0.0000 0.5000  4 Zn 2.96, 4 Mg 3.01
Mg3 0.6999 0.5000 0.1999  2 Zn 2.77, 2 Mg 3.01
Zn1 0.0233 0.6624 0.3608  4 Zn 2.62-2.88, 1 Mg 2.77
Zn2 0.1306 0.8560 0.2746  3 Zn 2.68-2.88, 1 Mg 2.96
Zn3 0.3016 0.6624 0.6392  4 Zn 2.62-2.88, 1 Mg 2.77
Zn4 0.4185 0.1440 0.2746  3 Zn 2.68-2.88, 1 Mg 2.96
Zn5 0.5815 0.8560 0.7254  3 Zn 2.68-2.88, 1 Mg 2.96
Zn6 0.6984 0.3376 0.3608  4 Zn 2.62-2.88, 1 Mg 2.77
Zn7 0.8694 0.1440 0.7254  3 Zn 2.68-2.88, 1 Mg 2.96
Zn8 0.9767 0.3376 0.6392  4 Zn 2.62-2.88, 1 Mg 2.77

Summary:
Electronic total energy: -30.8 eV per cell

No. 8
DFT (PBE) results for an optimized crystal structure of NaHg3MoS4.

Unit cell a=7.1754 b=7.1754 c=7.1754 alpha=90.00 beta=90.00 gamma=90.00
Last column: nearest neighbours and their distance in Å.
Element x y z (fractional)
Na1 0.0000 0.0000 0.0000  4 S 3.98
Hg1 0.0000 0.5000 0.5000  4 S 2.93
Hg2 0.5000 0.0000 0.5000  4 S 2.93
Hg3 0.5000 0.5000 0.0000  4 S 2.93
Mo1 0.5000 0.5000 0.5000  4 S 2.24
S1 0.3199 0.3199 0.3199  1 Mo 2.24
S2 0.3199 0.6801 0.6801  1 Mo 2.24
S3 0.6801 0.3199 0.6801  1 Mo 2.24
S4 0.6801 0.6801 0.3199  1 Mo 2.24

Summary:
Electronic total energy: -30.4 eV per cell

Number 5 is which compound? Lu5In4Ni2

What is the formula in the first record? Hf2Ta4Ge3C3